## KLaO3 (PBE-GGA)

Data for an optimized crystal structure of KLaO3.

Computed properties:
DOS(E_F) in states/eV per atom: 0.861
Energy in eV/atom: -5.95
Volume in A^3/atom: 17.58

abc: 4.447 4.447 4.447
angles: 90.00 90.00 90.00
Site moments in Bohr magnetons follow the coordinates.
Element x y z (fractional)
1 K 0.500 0.500 0.500  0.00
2 O 0.000 0.500 0.000  0.15
3 O 0.500 0.000 0.000  0.10
4 O 0.000 0.000 0.500  0.14
5 La 0.000 0.000 0.000  0.05